1.
TiCu3Ir | meta-GGA SCAN | single point on PBEsol structure

Geometry as extended XYZ:
```
5
Lattice="-3.045 -0.862 -3.223 -1.613 -3.440 2.443 -2.920 2.798 2.011" Properties=species:S:1:pos:R:3 pbc="T T T"
Ir 0.000 0.000 0.000
Cu -0.806 -1.720 1.222
Cu -1.460 1.399 1.006
Cu -1.523 -0.431 -1.611
Ti -3.789 -0.752 0.616
```

Output
- final energy (eV/atom) = -25.496
- energy of formation from the pure elements (eV per atom) = 1.049
- magnetic moment (μB per atom) = 0.215



2.
NaPt3 | meta-GGA SCAN | single point on PBEsol structure

Geometry as extended XYZ:
```
4
Lattice="-1.580 -1.087 -1.890 -1.554 -3.200 3.138 -2.167 5.260 0.705" Properties=species:S:1:pos:R:3 pbc="T T T"
Na -0.777 -1.600 1.569
Pt -3.587 -0.457 1.343
Pt -1.714 1.431 0.610
Pt -0.790 -0.543 -0.945
```

Output
- final energy (eV/atom) = -53.767
- energy of formation from the pure elements (eV per atom) = -0.068
- magnetic moment (μB per atom) = 0.000



3.
TlRhBr2 | meta-GGA SCAN | single point on PBEsol structure

Geometry as extended XYZ:
```
4
Lattice="-1.594 2.319 2.152 -5.040 -2.153 -1.413 3.659 -3.379 3.435" Properties=species:S:1:pos:R:3 pbc="T T T"
Tl -0.797 1.160 1.076
Rh -2.520 -1.077 -0.707
Br -3.203 -1.023 1.646
Br 0.227 -2.190 2.528
```

Output
- energy above the most stable polymorph in this dataset (meV per atom) = 0
- final energy (eV/atom) = -36.598
- energy relative to the elements, uncorrected (eV/atom) = -0.3360
- magnetic moment (μB per atom) = 0.000



4.
Ba2P | meta-GGA SCAN | single point on PBEsol structure

Geometry as extended XYZ:
```
3
Lattice="4.571 0.000 0.000 -2.286 3.959 0.000 0.000 0.000 8.023" Properties=species:S:1:pos:R:3 pbc="T T T"
P 0.000 0.000 0.000
Ba 0.000 2.639 6.310
Ba 2.286 1.320 1.714
```

Output
- final energy (eV/atom) = -30.811
- energy of formation from the pure elements (eV per atom) = -0.978
- magnetic moment (μB per atom) = 0.043



Q: Look up the final energy of the first one.
A: -25.496 eV/atom



Q: Which formula does entry 1 have?
A: TiCu3Ir



Q: final energy of number 4 (Ba2P)?
A: -30.811 eV/atom